Record 1
Compound: Hf2TiAgBi
Source: the Alexandria database
Functional: PBE-GGA
Structure: optimized geometry

a b c (Å): 4.954 4.954 5.228
angles (deg): 90.00 90.00 90.00
Space group P4/mmm (No. 123)
Unique sites:
1 Hf 0.000 0.500 0.000
2 Ti 0.000 0.000 0.000
3 Ag 0.500 0.500 0.500
4 Bi 0.000 0.000 0.500

## Properties
Crystal system ... tetragonal
Magnetization ... 0.00 μB/atom
VASP energy ... -30.6 eV/f.u.

=====

Record 2
Compound: CaGdHgSb
Source: the Alexandria database
Functional: PBE-GGA
Structure: optimized geometry

a b c (Å): 7.615 7.615 7.615
angles (deg): 90.00 90.00 90.00
Space group F-43m (No. 216)
Unique sites:
1 Ca 0.000 0.000 0.000
2 Gd 0.000 0.000 0.500
3 Hg 0.250 0.250 0.750
4 Sb 0.250 0.250 0.250

## Properties
Crystal system ... cubic
Magnetization ... 1.86 μB/atom
Energy relative to the elements, uncorrected ... -0.668 eV per atom
VASP energy ... -23.2 eV/f.u.